This record from Alexandria via LeMat-Bulk describes a relaxed structure of SrAc2Cu. The functional is PBE-GGA.

Unit cell a=3.9027 b=3.9027 c=10.1219 alpha=90.00 beta=90.00 gamma=90.00
Closest atoms and distances in Å follow each position.
Fractional coordinates of all 4 atoms:
Ac 0.0000 0.0000 0.8250  4 Cu 3.28, 1 Ac 3.54
Ac 0.0000 0.0000 0.1750  4 Cu 3.28, 1 Ac 3.54
Sr 0.5000 0.5000 0.5000  4 Sr 3.90, 8 Ac 4.29
Cu 0.5000 0.5000 0.0000  8 Ac 3.28

- DOS(E_F) (states/eV per cell) = 5.426
- energy relative to the lowest polymorph listed for this composition (meV per atom) = 0
- total magnetic moment (μB/f.u.) = 0.00